[1]
Material: AcPr2Sm
Method: DFT, PBE-GGA
State: relaxed

```
data_AcPr2Sm
_chemical_formula_sum 'Ac3 Pr6 Sm3'
_cell_length_a 3.6777
_cell_length_b 3.6777
_cell_length_c 39.3046
_cell_angle_alpha 90.00
_cell_angle_beta 90.00
_cell_angle_gamma 120.00
_space_group_name_H-M_alt 'R -3 m'
_space_group_IT_number 166
_space_group_name_Hall '-R 3 2"'
loop_
_atom_site_label
_atom_site_type_symbol
_atom_site_fract_x
_atom_site_fract_y
_atom_site_fract_z
_atom_site_occupancy
Ac1 Ac 0.0000 0.0000 0.0000 1
Pr1 Pr 0.0000 0.0000 0.0917 1
Sm1 Sm 0.0000 0.0000 0.5000 1
```

## Properties
The calculation puts the calculated formation energy at 155 meV/atom. For the density of states at the Fermi level, the calculation gives 19.98 states/eV/cell. The calculation puts the energy above the most stable polymorph in this dataset at 133.3 meV/atom.

[2]
Material: Ac8Pr3Sm2
Method: DFT, PBE-GGA
State: relaxed

```
data_Ac8Pr3Sm2
_chemical_formula_sum 'Ac8 Pr3 Sm2'
_cell_length_a 8.395
_cell_length_b 6.215
_cell_length_c 11.453
_cell_angle_alpha 90.00
_cell_angle_beta 111.50
_cell_angle_gamma 90.00
_space_group_name_H-M_alt 'P 1 2/m 1'
_space_group_IT_number 10
loop_
_space_group_symop_operation_xyz
'x,y,z'
'-x,-y,-z'
'-x,y,-z'
'x,-y,z'
loop_
_atom_site_label
_atom_site_type_symbol
_atom_site_fract_x
_atom_site_fract_y
_atom_site_fract_z
_atom_site_occupancy
Ac1 Ac 0.104 0.000 0.288 1
Ac2 Ac 0.175 0.500 0.849 1
Ac3 Ac 0.316 0.000 0.712 1
Ac4 Ac 0.366 0.500 0.233 1
Pr1 Pr 0.208 0.500 0.500 1
Pr2 Pr 0.500 0.000 0.500 1
Sm1 Sm 0.259 0.000 0.017 1
```

## Properties
The calculation puts the calculated formation energy at 205 meV/atom. For the density of states at the Fermi level, the calculation gives 19.07 states/eV/cell. The calculation puts the energy above the most stable polymorph in this dataset at 0.0 meV/atom.

[3]
Material: Ac2PrSm
Method: DFT, PBE-GGA
State: relaxed

```
data_Ac2PrSm
_chemical_formula_sum 'Ac8 Pr4 Sm4'
_cell_length_a 8.608
_cell_length_b 8.608
_cell_length_c 8.608
_cell_angle_alpha 90.00
_cell_angle_beta 90.00
_cell_angle_gamma 90.00
_space_group_name_H-M_alt 'F m -3 m'
_space_group_IT_number 225
_space_group_name_Hall '-F 4 2 3'
loop_
_atom_site_label
_atom_site_type_symbol
_atom_site_fract_x
_atom_site_fract_y
_atom_site_fract_z
_atom_site_occupancy
Ac1 Ac 0.250 0.250 0.250 1
Pr1 Pr 0.000 0.000 0.000 1
Sm1 Sm 0.000 0.000 0.500 1
```

## Properties
The calculation puts the calculated formation energy at 113 meV/atom. For the density of states at the Fermi level, the calculation gives 35.48 states/eV/cell. The calculation puts the energy above the most stable polymorph in this dataset at 86.8 meV/atom.

[4]
Material: Ac7PrSm3
Method: DFT, PBE-GGA
State: relaxed

```
data_Ac7PrSm3
_chemical_formula_sum 'Ac14 Pr2 Sm6'
_cell_length_a 12.379
_cell_length_b 11.151
_cell_length_c 6.905
_cell_angle_alpha 90.00
_cell_angle_beta 97.24
_cell_angle_gamma 90.00
_space_group_name_H-M_alt 'C 1 2/m 1'
_space_group_IT_number 12
loop_
_space_group_symop_operation_xyz
'x,y,z'
'-x,-y,-z'
'-x,y,-z'
'x,-y,z'
'x+1/2,y+1/2,z'
'-x+1/2,-y+1/2,-z'
'-x+1/2,y+1/2,-z'
'x+1/2,-y+1/2,z'
loop_
_atom_site_label
_atom_site_type_symbol
_atom_site_fract_x
_atom_site_fract_y
_atom_site_fract_z
_atom_site_occupancy
Ac1 Ac 0.000 0.000 0.000 1
Ac2 Ac 0.234 0.500 0.228 1
Ac3 Ac 0.245 0.328 0.741 1
Pr1 Pr 0.000 0.000 0.500 1
Sm1 Sm 0.000 0.337 0.000 1
Sm2 Sm 0.000 0.500 0.500 1
```

## Properties
The calculation puts the calculated formation energy at 252 meV/atom. For the density of states at the Fermi level, the calculation gives 33.79 states/eV/cell.

[5]
Material: Ac3Pr2Sm2
Method: DFT, PBE-GGA
State: relaxed

```
data_Ac3Pr2Sm2
_chemical_formula_sum 'Ac6 Pr4 Sm4'
_cell_length_a 5.712
_cell_length_b 25.388
_cell_length_c 3.774
_cell_angle_alpha 90.00
_cell_angle_beta 90.00
_cell_angle_gamma 90.00
_space_group_name_H-M_alt 'C m m m'
_space_group_IT_number 65
_space_group_name_Hall '-C 2 2'
loop_
_atom_site_label
_atom_site_type_symbol
_atom_site_fract_x
_atom_site_fract_y
_atom_site_fract_z
_atom_site_occupancy
Ac1 Ac 0.000 0.000 0.000 1
Ac2 Ac 0.000 0.152 0.000 1
Pr1 Pr 0.000 0.427 0.500 1
Sm1 Sm 0.000 0.285 0.500 1
```

## Properties
The calculation puts the calculated formation energy at 42 meV/atom. For the density of states at the Fermi level, the calculation gives 22.87 states/eV/cell.

[6]
Material: AcPr12Sm3
Method: DFT, PBE-GGA
State: relaxed

```
data_AcPr12Sm3
_chemical_formula_sum 'Ac1 Pr12 Sm3'
_cell_length_a 5.254
_cell_length_b 5.254
_cell_length_c 20.993
_cell_angle_alpha 90.00
_cell_angle_beta 90.00
_cell_angle_gamma 90.00
_space_group_name_H-M_alt 'P 4/m m m'
_space_group_IT_number 123
_space_group_name_Hall '-P 4 2'
loop_
_atom_site_label
_atom_site_type_symbol
_atom_site_fract_x
_atom_site_fract_y
_atom_site_fract_z
_atom_site_occupancy
Ac1 Ac 0.000 0.000 0.000 1
Pr1 Pr 0.000 0.500 0.130 1
Pr2 Pr 0.000 0.500 0.377 1
Pr3 Pr 0.500 0.500 0.000 1
Pr4 Pr 0.500 0.500 0.254 1
Pr5 Pr 0.500 0.500 0.500 1
Sm1 Sm 0.000 0.000 0.253 1
Sm2 Sm 0.000 0.000 0.500 1
```

## Properties
The calculation puts the calculated formation energy at 14 meV/atom. For the density of states at the Fermi level, the calculation gives 25.81 states/eV/cell.

[7]
Material: Ac3Pr3Sm
Method: DFT, PBE-GGA
State: relaxed

```
data_Ac3Pr3Sm
_chemical_formula_sum 'Ac6 Pr6 Sm2'
_cell_length_a 10.2214
_cell_length_b 10.2214
_cell_length_c 6.1731
_cell_angle_alpha 90.00
_cell_angle_beta 90.00
_cell_angle_gamma 120.00
_space_group_name_H-M_alt 'P 63/m'
_space_group_IT_number 176
_space_group_name_Hall '-P 6c'
loop_
_atom_site_label
_atom_site_type_symbol
_atom_site_fract_x
_atom_site_fract_y
_atom_site_fract_z
_atom_site_occupancy
Ac1 Ac 0.0942 0.6265 0.2500 1
Pr1 Pr 0.0459 0.8135 0.7500 1
Sm1 Sm 0.3333 0.6667 0.7500 1
```

## Properties
The calculation puts the calculated formation energy at 46 meV/atom. For the density of states at the Fermi level, the calculation gives 25.43 states/eV/cell.

[8]
Material: Ac2Pr5Sm2
Method: DFT, PBE-GGA
State: relaxed

```
data_Ac2Pr5Sm2
_chemical_formula_sum 'Ac4 Pr10 Sm4'
_cell_length_a 18.524
_cell_length_b 3.695
_cell_length_c 10.284
_cell_angle_alpha 90.00
_cell_angle_beta 103.63
_cell_angle_gamma 90.00
_space_group_name_H-M_alt 'C 1 2/m 1'
_space_group_IT_number 12
loop_
_space_group_symop_operation_xyz
'x,y,z'
'-x,-y,-z'
'-x,y,-z'
'x,-y,z'
'x+1/2,y+1/2,z'
'-x+1/2,-y+1/2,-z'
'-x+1/2,y+1/2,-z'
'x+1/2,-y+1/2,z'
loop_
_atom_site_label
_atom_site_type_symbol
_atom_site_fract_x
_atom_site_fract_y
_atom_site_fract_z
_atom_site_occupancy
Ac1 Ac 0.014 0.000 0.183 1
Pr1 Pr 0.000 0.500 0.500 1
Pr2 Pr 0.163 0.000 0.706 1
Pr3 Pr 0.163 0.500 0.026 1
Sm1 Sm 0.172 0.500 0.405 1
```

## Properties
The calculation puts the calculated formation energy at 96 meV/atom. For the density of states at the Fermi level, the calculation gives 27.26 states/eV/cell. The calculation puts the energy above the most stable polymorph in this dataset at 0.0 meV/atom.

[9]
Material: Ac8Pr5Sm
Method: DFT, PBE-GGA
State: relaxed

```
data_Ac8Pr5Sm
_chemical_formula_sum 'Ac16 Pr10 Sm2'
_cell_length_a 14.001
_cell_length_b 11.814
_cell_length_c 9.913
_cell_angle_alpha 90.00
_cell_angle_beta 134.33
_cell_angle_gamma 90.00
_space_group_name_H-M_alt 'C 1 2 1'
_space_group_IT_number 5
loop_
_space_group_symop_operation_xyz
'x,y,z'
'-x,y,-z'
'x+1/2,y+1/2,z'
'-x+1/2,y+1/2,-z'
loop_
_atom_site_label
_atom_site_type_symbol
_atom_site_fract_x
_atom_site_fract_y
_atom_site_fract_z
_atom_site_occupancy
Ac1 Ac 0.056 0.000 0.361 1
Ac2 Ac 0.109 0.322 0.271 1
Ac3 Ac 0.203 0.592 0.149 1
Ac4 Ac 0.237 0.026 0.184 1
Pr1 Pr 0.000 0.294 0.500 1
Pr2 Pr 0.064 0.641 0.374 1
Pr3 Pr 0.228 0.808 0.908 1
Sm1 Sm 0.000 0.820 0.000 1
```

## Properties
The calculation puts the calculated formation energy at 169 meV/atom. For the density of states at the Fermi level, the calculation gives 45.25 states/eV/cell.

[10]
Material: Ac2Pr5Sm2
Method: DFT, PBE-GGA
State: relaxed

```
data_Ac2Pr5Sm2
_chemical_formula_sum 'Ac8 Pr20 Sm8'
_cell_length_a 15.507
_cell_length_b 12.526
_cell_length_c 6.995
_cell_angle_alpha 90.00
_cell_angle_beta 90.00
_cell_angle_gamma 90.00
_space_group_name_H-M_alt 'I m a 2'
_space_group_IT_number 46
loop_
_space_group_symop_operation_xyz
'x,y,z'
'-x,-y,z'
'-x+1/2,y,z'
'x+1/2,-y,z'
'x+1/2,y+1/2,z+1/2'
'-x+1/2,-y+1/2,z+1/2'
'-x,y+1/2,z+1/2'
'x,-y+1/2,z+1/2'
loop_
_atom_site_label
_atom_site_type_symbol
_atom_site_fract_x
_atom_site_fract_y
_atom_site_fract_z
_atom_site_occupancy
Ac1 Ac 0.124 0.003 0.000 1
Pr1 Pr 0.052 0.742 0.848 1
Pr2 Pr 0.144 0.227 0.673 1
Pr3 Pr 0.250 0.737 0.643 1
Sm1 Sm 0.000 0.000 0.533 1
Sm2 Sm 0.250 0.003 0.468 1
```

## Properties
The calculation puts the calculated formation energy at 174 meV/atom. For the density of states at the Fermi level, the calculation gives 59.22 states/eV/cell. The calculation puts the energy above the most stable polymorph in this dataset at 78.3 meV/atom.

no.,magnetization (Bohr magnetons per cell)
1,0.00
2,0.00
3,0.00
4,0.00
5,0.00
6,0.00
7,0.00
8,0.00
9,0.00
10,0.00